Record 1
Density functional theory data (PBE) for Rb4Cd3SnBr12 after structural relaxation.

Structure (POSCAR):
```
Rb4Cd3SnBr12
1.0
-9.3244 -1.6755 2.4041
3.4158 -7.5145 -5.2342
5.3320 0.9982 8.1305
Br Cd Rb Sn
12 3 4 1
direct
0.7500 0.2500 0.5000
0.5000 0.2500 0.7500
0.2500 0.7500 0.5000
0.7438 0.7438 0.0000
0.7500 0.5000 0.2500
0.2562 0.0000 0.2562
0.2500 0.5000 0.7500
0.7438 0.0000 0.7438
0.5000 0.7500 0.2500
0.0000 0.7438 0.7438
0.0000 0.2562 0.2562
0.2562 0.2562 0.0000
0.5000 0.0000 0.5000
0.0000 0.5000 0.5000
0.5000 0.5000 0.0000
0.5000 0.0000 0.0000
0.0000 0.5000 0.0000
0.5000 0.5000 0.5000
0.0000 0.0000 0.5000
0.0000 0.0000 0.0000
```

Computed properties:
Calculated density (Mg/m³): 4.058
Symmetry: No. 229
VASP energy (eV/atom): -2.72

***

Record 2
Density functional theory data (PBE) for RbCdSnBr6 after structural relaxation.

Structure (POSCAR):
```
RbCdSnBr6
1.0
7.3189 0.0000 0.0000
-3.6594 6.3383 0.0000
0.0000 0.0000 15.2433
Br Cd Rb Sn
12 2 2 2
direct
0.9994 0.3758 0.6426
0.6236 0.9994 0.3574
0.6242 0.6236 0.6426
0.9994 0.6236 0.8574
0.6242 0.0006 0.8574
0.6236 0.6242 0.1426
0.3764 0.0006 0.6426
0.3764 0.3758 0.8574
0.3758 0.9994 0.1426
0.3758 0.3764 0.3574
0.0006 0.3764 0.1426
0.0006 0.6242 0.3574
0.6667 0.3333 0.7500
0.3333 0.6667 0.2500
0.0000 0.0000 0.0000
0.0000 0.0000 0.5000
0.3333 0.6667 0.7500
0.6667 0.3333 0.2500
```

Computed properties:
Calculated density (Mg/m³): 3.739
Symmetry: No. 163
Density of states at the Fermi level (states/eV/cell): 12.97
VASP energy (eV/atom): -2.73

***

Record 3
Density functional theory data (PBE) for Rb2CdSnBr6 after structural relaxation.

Structure (POSCAR):
```
Rb2CdSnBr6
1.0
8.1010 0.0000 0.0026
4.0505 7.0166 0.0008
4.0522 2.3386 6.4270
Br Cd Rb Sn
6 1 2 1
direct
0.0035 0.5546 0.2997
0.0764 0.4904 0.8046
0.1427 0.0031 0.2985
0.6288 0.0776 0.8033
0.5562 0.1420 0.2982
0.4896 0.6292 0.8043
0.3162 0.3162 0.0515
0.5595 0.5591 0.3219
0.0726 0.0732 0.7815
0.8162 0.8162 0.5516
```

Computed properties:
Calculated density (Mg/m³): 4.007
Symmetry: No. 2
Density of states at the Fermi level (states/eV/cell): 0.00
VASP energy (eV/atom): -2.88

***

Record 4
Density functional theory data (PBE) for Rb2SrCdBr6 after structural relaxation.

Structure (POSCAR):
```
Rb2SrCdBr6
1.0
8.1734 0.0000 0.0000
0.0000 8.1734 0.0000
4.0867 4.0867 5.7796
Br Sr Cd Rb
6 1 1 2
direct
0.7589 0.7589 0.4822
0.7590 0.2410 0.0000
0.2410 0.2410 0.0000
0.7590 0.7590 0.0000
0.2410 0.7590 0.0000
0.2411 0.2411 0.5178
0.5000 0.5000 0.0000
0.0000 0.0000 0.0000
0.7500 0.2500 0.5000
0.2500 0.7500 0.5000
```

Computed properties:
Calculated density (Mg/m³): 3.657
Symmetry: No. 225
Density of states at the Fermi level (states/eV/cell): 0.00
VASP energy (eV/atom): -3.02

***

Record 5
Density functional theory data (PBE) for Rb2SrCdBr6 after structural relaxation.

Structure (POSCAR):
```
Rb2SrCdBr6
1.0
7.9111 0.0000 -0.0582
0.0000 8.2030 0.0002
-0.0146 0.0002 11.3604
Br Sr Rb Cd
12 2 4 2
direct
0.8087 0.7862 0.9539
0.3087 0.7138 0.4539
0.6913 0.2862 0.5461
0.7880 0.8055 0.5442
0.2881 0.6945 0.0442
0.1913 0.2138 0.0461
0.2120 0.1945 0.4558
0.4118 0.9806 0.7390
0.7119 0.3055 0.9558
0.9118 0.5194 0.2390
0.5882 0.0194 0.2610
0.0882 0.4806 0.7610
0.5000 0.0000 0.0000
0.0000 0.5000 0.5000
0.0209 0.9354 0.2480
0.5209 0.5646 0.7481
0.4791 0.4354 0.2519
0.9791 0.0646 0.7520
0.0000 0.5000 0.0000
0.5000 0.0000 0.5000
```

Computed properties:
Calculated density (Mg/m³): 3.831
Symmetry: No. 14
Density of states at the Fermi level (states/eV/cell): 0.00
VASP energy (eV/atom): -3.05

***

Record 6
Density functional theory data (PBE) for Rb2TbCdBr6 after structural relaxation.

Structure (POSCAR):
```
Rb2TbCdBr6
1.0
8.3727 0.0000 0.0000
0.0000 8.1451 0.0000
0.0000 0.0000 11.6704
Br Tb Rb Cd
12 2 4 2
direct
0.0000 0.7576 0.7409
0.7309 0.5035 0.0000
0.7691 0.4965 0.5000
0.2309 0.4965 0.5000
0.2691 0.5035 0.0000
0.0000 0.7576 0.2591
0.2626 0.0084 0.0000
0.2374 0.9916 0.5000
0.5000 0.2424 0.2409
0.7374 0.0084 0.0000
0.5000 0.2424 0.7591
0.7626 0.9916 0.5000
0.0000 0.7467 0.5000
0.5000 0.2533 0.0000
0.5000 0.7645 0.2226
0.5000 0.7645 0.7774
0.0000 0.2355 0.7226
0.0000 0.2355 0.2774
0.5000 0.2505 0.5000
0.0000 0.7495 0.0000
```

Computed properties:
Calculated density (Mg/m³): 3.846
Symmetry: No. 59
Density of states at the Fermi level (states/eV/cell): 8.30
VASP energy (eV/atom): -3.24